DFT (PBE) results for a relaxed LiHf3Sc crystal.

Geometry as POSCAR:
```
LiHf3Sc
1.0
5.089 0.000 0.000
0.000 5.089 0.000
0.000 0.000 5.089
Li Hf Sc
1 3 1
Cartesian
0.000 0.000 0.000 Li
0.000 2.545 2.545 Hf
2.545 0.000 2.545 Hf
2.545 2.545 0.000 Hf
2.545 2.545 2.545 Sc
```

Calculated values
SG: Pm-3m (221)
Energy relative to the lowest polymorph listed for this composition in eV/f.u.: 2.66
V in Å³ per cell: 131.80
DFT formation energy in eV per atom: 1.28
Raw total energy in eV/atom: -6.34

DFT (PBE) results for a relaxed RbNpReN4 crystal.

Geometry as POSCAR:
```
RbNpReN4
1.0
6.026 0.000 0.000
0.000 6.027 0.000
-2.295 0.000 7.640
Rb Np Re N
2 2 2 8
Cartesian
0.242 1.507 3.292 Rb
3.489 4.520 4.348 Rb
-0.395 1.507 7.295 Np
4.126 4.520 0.344 Np
1.093 4.520 1.120 Re
2.638 1.507 6.519 Re
-2.045 4.520 7.167 N
-0.404 4.520 2.171 N
2.307 3.105 1.219 N
2.307 5.936 1.219 N
1.424 0.091 6.421 N
1.424 2.922 6.421 N
4.135 1.507 5.469 N
5.776 1.507 0.473 N
```

Calculated values
SG: P2_1/m (11)
V in Å³ per cell: 277.45
Uncorrected formation energy in meV per atom: -436
Raw total energy in eV/atom: -8.96

DFT (PBE) results for a relaxed SiPdPb2 crystal.

Geometry as POSCAR:
```
SiPdPb2
1.0
-3.265 3.265 5.721
3.265 -3.265 5.721
3.265 3.265 -5.721
Si Pd Pb
2 2 4
Cartesian
0.000 0.000 0.000 Si
0.000 3.265 2.860 Si
3.265 0.000 2.860 Pd
0.000 0.000 5.721 Pd
1.632 -1.618 4.291 Pb
1.647 1.632 1.430 Pb
1.632 4.883 -1.430 Pb
1.618 1.632 7.151 Pb
```

Calculated values
SG: I-42d (122)
V in Å³ per cell: 243.90
Uncorrected formation energy in meV per atom: 379
Raw total energy in eV/atom: -4.13

DFT (PBE) results for a relaxed FeTcNi4 crystal.

Geometry as POSCAR:
```
FeTcNi4
1.0
8.052 0.000 0.000
0.000 2.499 0.000
0.000 0.000 6.940
Fe Tc Ni
2 2 8
Cartesian
2.013 0.000 1.253 Fe
6.039 0.000 5.687 Fe
2.013 0.000 3.692 Tc
6.039 0.000 3.248 Tc
0.000 0.000 0.000 Ni
0.099 1.250 2.254 Ni
2.013 1.250 6.043 Ni
3.927 1.250 2.254 Ni
4.026 0.000 0.000 Ni
4.125 1.250 4.685 Ni
6.039 1.250 0.897 Ni
7.953 1.250 4.685 Ni
```

Calculated values
SG: Pmma (51)
Energy relative to the lowest polymorph listed for this composition in eV/f.u.: 0.00
V in Å³ per cell: 139.65
DFT formation energy in eV per atom: 0.04
Raw total energy in eV/atom: -6.95

DFT (PBE) results for a relaxed ErZrNb4 crystal.

Geometry as POSCAR:
```
ErZrNb4
1.0
0.000 3.983 3.983
3.983 0.000 3.983
3.983 3.983 0.000
Er Zr Nb
1 1 4
Cartesian
0.000 0.000 0.000 Er
5.974 5.974 5.974 Zr
2.987 2.987 2.987 Nb
4.979 4.979 2.987 Nb
4.979 2.987 4.979 Nb
2.987 4.979 4.979 Nb
```

Calculated values
SG: F-43m (216)
V in Å³ per cell: 126.36
DFT formation energy in eV per atom: 0.12
Raw total energy in eV/atom: -8.78

DFT (PBE) results for a relaxed GaOs2Se crystal.

Geometry as POSCAR:
```
GaOs2Se
1.0
0.000 3.090 3.090
3.090 0.000 3.090
3.090 3.090 0.000
Ga Os Se
1 2 1
Cartesian
0.000 0.000 0.000 Ga
1.545 1.545 1.545 Os
4.636 4.636 4.636 Os
3.090 3.090 3.090 Se
```

Calculated values
SG: Fm-3m (225)
Energy relative to the lowest polymorph listed for this composition in eV/f.u.: 0.00
V in Å³ per cell: 59.03
Uncorrected formation energy in meV per atom: 517
Raw total energy in eV/atom: -6.73

Question: raw total energy of number 1 (LiHf3Sc)?
Answer: -6.34 eV/atom

Question: Which of these has the highest raw total energy?
Answer: SiPdPb2

Question: The highest raw total energy belongs to which entry?
Answer: SiPdPb2